1.
! Zr3Tl | OQMD via LeMat-Bulk | PBE | optimized geometry; values from VASP
&SYSTEM
  ibrav = 0, nat = 8, ntyp = 2
/
ATOMIC_SPECIES
Tl 204.38 Tl.upf
Zr 91.22 Zr.upf
CELL_PARAMETERS angstrom
5.5916 -3.2268 0.0000
-0.0792 6.3165 0.0000
0.0000 0.0000 5.2292
ATOMIC_POSITIONS crystal
Tl 0.8248 0.1496 0.5000
Tl 0.0086 0.5171 0.0000
Zr 0.0121 0.0107 0.0000
Zr 0.8212 0.6559 0.5000
Zr 0.5021 0.5043 0.0000
Zr 0.3348 0.6560 0.5000
Zr 0.4986 0.0106 0.0000
Zr 0.3312 0.1623 0.5000
! - crystal system = orthorhombic

2.
! ZrTl | OQMD via LeMat-Bulk | PBE | optimized geometry; values from VASP
&SYSTEM
  ibrav = 0, nat = 12, ntyp = 2
/
ATOMIC_SPECIES
Zr 91.22 Zr.upf
Tl 204.38 Tl.upf
CELL_PARAMETERS angstrom
6.4479 0.0004 0.0000
0.0032 9.8303 0.0000
0.0000 0.0000 4.3804
ATOMIC_POSITIONS crystal
Zr 0.2851 0.4179 0.5000
Zr 0.5247 0.9259 0.0000
Zr 0.0559 0.5975 0.0000
Zr 0.0246 0.2408 0.0000
Zr 0.7852 0.7488 0.5000
Zr 0.5558 0.5691 0.0000
Tl 0.7849 0.0762 0.5000
Tl 0.0346 0.9080 0.0000
Tl 0.8149 0.4322 0.5000
Tl 0.2849 0.0905 0.5000
Tl 0.5346 0.2587 0.0000
Tl 0.3149 0.7344 0.5000
! - crystal system = orthorhombic

3.
! Zr4Tl3 | OQMD via LeMat-Bulk | PBE | optimized geometry; values from VASP
&SYSTEM
  ibrav = 0, nat = 14, ntyp = 2
/
ATOMIC_SPECIES
Zr 91.22 Zr.upf
Tl 204.38 Tl.upf
CELL_PARAMETERS angstrom
2.2848 -6.3933 -5.1274
6.1427 -5.3806 2.3877
-3.5418 -3.0540 2.2297
ATOMIC_POSITIONS crystal
Zr 0.9691 0.2134 0.5000
Zr 0.7849 0.9603 0.5000
Zr 0.7389 0.4206 0.0000
Zr 0.0952 0.5238 0.5000
Zr 0.5318 0.3976 0.5000
Zr 0.5547 0.1675 0.0000
Zr 0.4286 0.8571 0.0000
Zr 0.9920 0.9833 0.0000
Tl 0.3884 0.1051 0.5000
Tl 0.8473 0.7316 0.0000
Tl 0.2207 0.8170 0.5000
Tl 0.6765 0.6493 0.5000
Tl 0.1354 0.2759 0.0000
Tl 0.3031 0.5639 0.0000
! - crystal system = hexagonal
! - ΔE to the lowest computed polymorph (meV/atom) = 0

4.
! Zr4Tl3 | OQMD via LeMat-Bulk | PBE | optimized geometry; values from VASP
&SYSTEM
  ibrav = 0, nat = 14, ntyp = 2
/
ATOMIC_SPECIES
Tl 204.38 Tl.upf
Zr 91.22 Zr.upf
CELL_PARAMETERS angstrom
-7.7718 -2.1697 2.3248
-2.0981 -8.1100 0.5828
1.5606 -0.0309 5.1880
ATOMIC_POSITIONS crystal
Tl 0.7231 0.4197 0.0000
Tl 0.5238 0.3721 0.5000
Tl 0.6755 0.6666 0.5000
Tl 0.4286 0.8660 0.0000
Tl 0.2292 0.8184 0.5000
Tl 0.2768 0.5714 0.0000
Zr 0.1429 0.2857 0.0000
Zr 0.8095 0.9524 0.5000
Zr 0.3798 0.0911 0.5000
Zr 0.0041 0.9948 0.0000
Zr 0.8519 0.7154 0.0000
Zr 0.1004 0.5227 0.5000
Zr 0.5725 0.1469 0.0000
Zr 0.9483 0.2433 0.5000
! - crystal system = hexagonal
! - ΔE to the lowest computed polymorph (meV/atom) = 37

5.
! ZrTl | OQMD via LeMat-Bulk | PBE | optimized geometry; values from VASP
&SYSTEM
  ibrav = 0, nat = 10, ntyp = 2
/
ATOMIC_SPECIES
Tl 204.38 Tl.upf
Zr 91.22 Zr.upf
CELL_PARAMETERS angstrom
-2.6290 -1.4061 -4.5790
5.6916 -0.8632 -6.2628
0.5900 -5.1688 1.2486
ATOMIC_POSITIONS crystal
Tl 0.8314 0.3916 0.0000
Tl 0.4543 0.3923 0.5000
Tl 0.6231 0.8084 0.0000
Tl 0.2466 0.8077 0.5000
Tl 0.2234 0.6000 0.0000
Zr 0.0256 0.2069 0.5000
Zr 0.6325 0.9931 0.5000
Zr 0.0192 0.9949 0.0000
Zr 0.4141 0.2051 0.0000
Zr 0.8629 0.6000 0.5000
! - crystal system = orthorhombic

6.
! Zr5Tl | OQMD via LeMat-Bulk | PBE | optimized geometry; values from VASP
&SYSTEM
  ibrav = 0, nat = 6, ntyp = 2
/
ATOMIC_SPECIES
Zr 91.22 Zr.upf
Tl 204.38 Tl.upf
CELL_PARAMETERS angstrom
2.7649 4.7887 0.0000
-2.7649 4.7887 0.0000
0.0000 0.0000 5.2267
ATOMIC_POSITIONS crystal
Zr 0.3263 0.6737 0.5000
Zr 0.6737 0.0000 0.5000
Zr 0.6667 0.6667 0.0000
Zr 0.0000 0.3263 0.5000
Zr 0.3333 0.3333 0.0000
Tl 0.0000 0.0000 0.0000
! - crystal system = hexagonal

Number 1: uncorrected energy -6.959 eV per atom, ρ 8.7 g/cm³. Number 2: uncorrected energy -5.462 eV per atom, ρ 10.6 g/cm³. Number 3: uncorrected energy -5.869 eV per atom, ρ 10.0 g/cm³. Number 4: uncorrected energy -5.832 eV per atom, ρ 9.8 g/cm³. Number 5: uncorrected energy -5.392 eV per atom, ρ 10.4 g/cm³. Number 6: uncorrected energy -7.531 eV per atom, ρ 7.9 g/cm³.